1.
Computed, not measured: a geometry-optimized PmSi2Bi2Pt7 structure at the PBE-GGA level of DFT.

Unit cell a=4.0317 b=4.0317 c=30.3447 alpha=90.00 beta=90.00 gamma=90.00
Closest atoms and distances in Å follow each position.
Space group I4/mmm (No. 139)
One atom of each set of equivalent atoms:
Pm1 0.0000 0.0000 0.0000 [2 per cell]  12 Pt 2.85-3.03
Si1 0.0000 0.0000 0.3817 [4 per cell]  5 Pt 2.33-2.41
Bi1 0.0000 0.0000 0.2097 [4 per cell]  5 Pt 2.88-2.89
Pt1 0.0000 0.0000 0.3048 [4 per cell]  1 Si 2.33
Pt2 0.0000 0.0000 0.5000 [2 per cell]  4 Pm 2.85, 8 Pt 3.03
Pt3 0.0000 0.5000 0.0748 [8 per cell]  2 Si 2.41

## Properties
VASP energy (eV per formula unit): -73.038
Raw formation energy (eV per atom): -0.616
Fermi-level density of states (states/eV per cell): 10.15

***

2.
Computed, not measured: a geometry-optimized SrPmBiPt structure at the PBE-GGA level of DFT.

Unit cell a=7.6796 b=7.6796 c=7.6796 alpha=90.00 beta=90.00 gamma=90.00
Closest atoms and distances in Å follow each position.
Space group F-43m (No. 216)
One atom of each set of equivalent atoms:
Sr1 0.0000 0.0000 0.0000 [4 per cell]  4 Bi 3.33, 4 Pt 3.33
Pm1 0.0000 0.0000 0.5000 [4 per cell]  4 Bi 3.33, 4 Pt 3.33
Bi1 0.2500 0.2500 0.7500 [4 per cell]  4 Pm 3.33, 4 Sr 3.33
Pt1 0.2500 0.2500 0.2500 [4 per cell]  4 Pm 3.33, 4 Sr 3.33

## Properties
VASP energy (eV per formula unit): -19.372
Fermi-level density of states (states/eV per cell): 2.69
Formation energy from the elements (eV per atom): -0.75

***

3.
Computed, not measured: a geometry-optimized Pm2PuBi3 structure at the PBE-GGA level of DFT.

Unit cell a=9.1408 b=12.9151 c=27.3602 alpha=90.00 beta=90.00 gamma=90.00
Closest atoms and distances in Å follow each position.
Space group Fddd (No. 70, origin choice 2)
One atom of each set of equivalent atoms:
Pm1 0.1250 0.1250 0.0423 [16 per cell]  6 Bi 3.24-3.25
Pm2 0.1250 0.1250 0.3743 [16 per cell]  6 Bi 3.23-3.24
Pu1 0.1250 0.1250 0.5416 [16 per cell]  6 Bi 3.20-3.21
Bi1 0.1213 0.3750 0.8750 [16 per cell]  2 Pu 3.21, 4 Pm 3.23-3.24
Bi2 0.1232 0.3731 0.7091 [32 per cell]  2 Pu 3.20, 4 Pm 3.24-3.25

## Properties
VASP energy (eV per formula unit): -39.870
Fermi-level density of states (states/eV per cell): 260.11
Formation energy from the elements (eV per atom): -0.73

***

4.
Computed, not measured: a geometry-optimized PmPu2Bi3 structure at the PBE-GGA level of DFT.

Unit cell a=4.5514 b=6.4323 c=13.6570 alpha=90.00 beta=90.00 gamma=90.00
Closest atoms and distances in Å follow each position.
Space group Immm (No. 71)
One atom of each set of equivalent atoms:
Pm1 0.0000 0.0000 0.0000 [2 per cell]  6 Bi 3.22-3.25
Pu1 0.0000 0.0000 0.3344 [4 per cell]  6 Bi 3.20-3.22
Bi1 0.0000 0.5000 0.0000 [2 per cell]  4 Pu 3.21, 2 Pm 3.22
Bi2 0.0000 0.5000 0.3304 [4 per cell]  4 Pu 3.20-3.22, 2 Pm 3.25

## Properties
VASP energy (eV per formula unit): -48.191
Fermi-level density of states (states/eV per cell): 59.25
Formation energy from the elements (eV per atom): -0.52

***

5.
Computed, not measured: a geometry-optimized PmPuBi6 structure at the PBE-GGA level of DFT.

Unit cell a=4.6155 b=4.7345 c=23.1957 alpha=90.00 beta=90.00 gamma=90.00
Closest atoms and distances in Å follow each position.
Space group Amm2 (No. 38)
One atom of each set of equivalent atoms:
Pm1 0.0000 0.0000 0.0000 [2 per cell]  7 Bi 3.23-3.40
Pu1 0.5000 0.0000 0.3507 [2 per cell]  9 Bi 3.18-3.47
Bi1 0.0000 0.0000 0.2421 [2 per cell]  8 Bi 3.31-3.68, 2 Pu 3.42
Bi2 0.0000 0.0000 0.6204 [2 per cell]  8 Bi 3.32-3.68, 2 Pm 3.66
Bi3 0.0000 0.0000 0.8606 [2 per cell]  1 Pm 3.23, 4 Pu 3.31, 2 Bi 3.60
Bi4 0.5000 0.0000 0.1076 [2 per cell]  6 Bi 3.32-3.65, 2 Pm 3.40
Bi5 0.5000 0.0000 0.4879 [2 per cell]  1 Pu 3.18, 4 Pm 3.32
Bi6 0.5000 0.0000 0.7416 [2 per cell]  8 Bi 3.31-3.64, 2 Pu 3.47

## Properties
VASP energy (eV per formula unit): -44.442
Fermi-level density of states (states/eV per cell): 28.34
Formation energy from the elements (eV per atom): -0.26

***

6.
Computed, not measured: a geometry-optimized Pm2PuBi3 structure at the PBE-GGA level of DFT.

Unit cell a=4.5740 b=6.4529 c=13.6873 alpha=90.00 beta=90.00 gamma=90.00
Closest atoms and distances in Å follow each position.
Space group Immm (No. 71)
One atom of each set of equivalent atoms:
Pm1 0.0000 0.0000 0.1674 [4 per cell]  6 Bi 3.23-3.25
Pu1 0.0000 0.0000 0.5000 [2 per cell]  6 Bi 3.20-3.23
Bi1 0.0000 0.5000 0.1640 [4 per cell]  2 Pu 3.20, 4 Pm 3.23-3.25
Bi2 0.0000 0.5000 0.5000 [2 per cell]  2 Pu 3.23, 4 Pm 3.24

## Properties
VASP energy (eV per formula unit): -39.852
Fermi-level density of states (states/eV per cell): 33.77
Formation energy from the elements (eV per atom): -0.73

***

7.
Computed, not measured: a geometry-optimized PmPuBi4Rh2 structure at the PBE-GGA level of DFT.

Unit cell a=4.7954 b=4.7954 c=9.8083 alpha=90.00 beta=90.00 gamma=90.00
Closest atoms and distances in Å follow each position.
Space group P4/mmm (No. 123)
One atom of each set of equivalent atoms:
Pm1 0.0000 0.0000 0.0000 [1 per cell]  8 Bi 3.54, 8 Rh 3.63
Pu1 0.0000 0.0000 0.5000 [1 per cell]  8 Bi 3.32
Bi1 0.0000 0.5000 0.2660 [4 per cell]  2 Rh 2.74
Rh1 0.5000 0.5000 0.1314 [2 per cell]  1 Rh 2.58, 4 Bi 2.74

## Properties
VASP energy (eV per formula unit): -51.322
Fermi-level density of states (states/eV per cell): 15.76
Formation energy from the elements (eV per atom): -0.25

***

8.
Computed, not measured: a geometry-optimized PmSm2PuBi4 structure at the PBE-GGA level of DFT.

Unit cell a=7.8956 b=4.5624 c=7.8957 alpha=90.00 beta=109.44 gamma=90.00
Closest atoms and distances in Å follow each position.
Space group P2/m (No. 10)
One atom of each set of equivalent atoms:
Pm1 0.0000 0.0000 0.0000 [1 per cell]  6 Bi 3.23
Sm1 0.0000 0.5000 0.5000 [1 per cell]  6 Bi 3.24
Sm2 0.5000 0.0000 0.5000 [1 per cell]  6 Bi 3.22
Pu1 0.5000 0.5000 0.0000 [1 per cell]  6 Bi 3.21
Bi1 0.2523 0.0000 0.7513 [2 per cell]  2 Pu 3.21, 3 Sm 3.22-3.24, 1 Pm 3.23
Bi2 0.2519 0.5000 0.2499 [2 per cell]  1 Pu 3.21, 3 Sm 3.22-3.24, 2 Pm 3.23

## Properties
VASP energy (eV per formula unit): -50.238
Fermi-level density of states (states/eV per cell): 17.50
Formation energy from the elements (eV per atom): -0.77

***

9.
Computed, not measured: a geometry-optimized Pm2SmPuBi4 structure at the PBE-GGA level of DFT.

Unit cell a=7.9034 b=4.5676 c=7.9038 alpha=90.00 beta=109.43 gamma=90.00
Closest atoms and distances in Å follow each position.
Space group P2/m (No. 10)
One atom of each set of equivalent atoms:
Pm1 0.0000 0.0000 0.0000 [1 per cell]  6 Bi 3.23
Pm2 0.0000 0.5000 0.5000 [1 per cell]  6 Bi 3.24-3.25
Sm1 0.5000 0.0000 0.5000 [1 per cell]  6 Bi 3.22
Pu1 0.5000 0.5000 0.0000 [1 per cell]  6 Bi 3.21
Bi1 0.2524 0.5000 0.2495 [2 per cell]  1 Pu 3.21, 2 Sm 3.22, 3 Pm 3.23-3.24
Bi2 0.2532 0.0000 0.7523 [2 per cell]  2 Pu 3.21, 1 Sm 3.22, 3 Pm 3.23-3.25

## Properties
VASP energy (eV per formula unit): -50.298
Fermi-level density of states (states/eV per cell): 17.51
Formation energy from the elements (eV per atom): -0.78

***

10.
Computed, not measured: a geometry-optimized PmPuSnBi structure at the PBE-GGA level of DFT.

Unit cell a=7.7547 b=7.7547 c=7.7547 alpha=90.00 beta=90.00 gamma=90.00
Closest atoms and distances in Å follow each position.
Space group F-43m (No. 216)
One atom of each set of equivalent atoms:
Pm1 0.0000 0.0000 0.0000 [4 per cell]  4 Sn 3.36, 4 Bi 3.36
Pu1 0.0000 0.0000 0.5000 [4 per cell]  4 Sn 3.36, 4 Bi 3.36
Sn1 0.2500 0.2500 0.7500 [4 per cell]  4 Pm 3.36, 4 Pu 3.36
Bi1 0.2500 0.2500 0.2500 [4 per cell]  4 Pm 3.36, 4 Pu 3.36

## Properties
VASP energy (eV per formula unit): -28.649
Fermi-level density of states (states/eV per cell): 56.61
Formation energy from the elements (eV per atom): -0.42

***

11.
Computed, not measured: a geometry-optimized PmPuBiTe structure at the PBE-GGA level of DFT.

Unit cell a=4.5194 b=4.5194 c=22.0384 alpha=90.00 beta=90.00 gamma=120.00
Closest atoms and distances in Å follow each position.
Space group R3m (No. 160, hexagonal axes)
One atom of each set of equivalent atoms:
Pm1 0.0000 0.0000 0.0000 [3 per cell]  3 Bi 3.20, 3 Te 3.20
Pu1 0.0000 0.0000 0.5013 [3 per cell]  3 Te 3.16, 3 Bi 3.19
Bi1 0.0000 0.0000 0.7510 [3 per cell]  3 Pu 3.19, 3 Pm 3.20
Te1 0.0000 0.0000 0.2489 [3 per cell]  3 Pu 3.16, 3 Pm 3.20

## Properties
VASP energy (eV per formula unit): -30.005
Raw formation energy (eV per atom): -0.975
Fermi-level density of states (states/eV per cell): 39.21

***

12.
Computed, not measured: a geometry-optimized PmPuBiTe structure at the PBE-GGA level of DFT.

Unit cell a=7.7727 b=7.7727 c=7.7727 alpha=90.00 beta=90.00 gamma=90.00
Closest atoms and distances in Å follow each position.
Space group F-43m (No. 216)
One atom of each set of equivalent atoms:
Pm1 0.0000 0.0000 0.0000 [4 per cell]  4 Bi 3.37, 4 Te 3.37
Pu1 0.0000 0.0000 0.5000 [4 per cell]  4 Te 3.37, 4 Bi 3.37
Bi1 0.2500 0.2500 0.2500 [4 per cell]  4 Pm 3.37, 4 Pu 3.37
Te1 0.2500 0.2500 0.7500 [4 per cell]  4 Pm 3.37, 4 Pu 3.37

## Properties
VASP energy (eV per formula unit): -29.291
Raw formation energy (eV per atom): -0.797
Fermi-level density of states (states/eV per cell): 37.97

***

13.
Computed, not measured: a geometry-optimized Pm2PuThBi5 structure at the PBE-GGA level of DFT.

Unit cell a=5.7645 b=5.7645 c=11.9226 alpha=90.00 beta=90.00 gamma=90.00
Closest atoms and distances in Å follow each position.
Space group P4/mmm (No. 123)
One atom of each set of equivalent atoms:
Pm1 0.0000 0.0000 0.2124 [2 per cell]  5 Bi 3.43-3.84
Pu1 0.5000 0.5000 0.5000 [1 per cell]  2 Bi 2.93
Th1 0.5000 0.5000 0.0000 [1 per cell]  6 Bi 2.88-3.03
Bi1 0.0000 0.0000 0.5000 [1 per cell]  2 Pm 3.43
Bi2 0.0000 0.5000 0.0000 [2 per cell]  2 Th 2.88
Bi3 0.5000 0.5000 0.2545 [2 per cell]  1 Pu 2.93, 1 Th 3.03

## Properties
VASP energy (eV per formula unit): -49.072
Fermi-level density of states (states/eV per cell): 21.04
Formation energy from the elements (eV per atom): 0.18